Here is crystalline CsCuP2O at its relaxed geometry from Alexandria. Energies are from PBE. Values from VASP.

Properties
- Calculated volume: 25.62 Å³/atom
- SG: No. 123
- Total moment: 0.4 μB/f.u.
- Raw total energy: -2.33 eV/atom
- Formation energy without anion corrections: 1.82 eV/atom

Quantum ESPRESSO input file:
```
&SYSTEM
  ibrav = 0, nat = 5, ntyp = 4
/
ATOMIC_SPECIES
P 30.97 P.upf
O 16.00 O.upf
Cs 132.91 Cs.upf
Cu 63.55 Cu.upf
ATOMIC_POSITIONS crystal
P 0.500 0.000 0.000
O 0.000 0.000 0.500
Cs 0.000 0.000 0.000
Cu 0.500 0.500 0.500
P 0.000 0.500 0.000
CELL_PARAMETERS angstrom
-4.929 2.434 0.636
-2.488 -4.924 -0.429
0.285 -0.505 4.143
```